Compound: NaZnSnPb
Source: the Alexandria database
Functional: GGA-PBE
Structure: relaxed

extended XYZ file:
```
4
Lattice="5.288 0.000 0.000 2.644 4.579 0.000 2.644 1.526 4.317" Properties=species:S:1:pos:R:3 pbc="T T T"
Sn 2.644 1.526 1.079
Pb 5.288 3.053 2.159
Na 7.931 4.579 3.238
Zn 0.000 0.000 0.000
```

Output
The total energy comes out at -2.532 eV per atom. For the formation energy, the calculation gives 4.3 kJ/mol of atoms.


Compound: NaSrPb
Source: the Alexandria database
Functional: GGA-PBE
Structure: relaxed

extended XYZ file:
```
6
Lattice="-4.184 -2.131 -2.000 -1.126 -5.946 2.180 -5.997 0.664 5.327" Properties=species:S:1:pos:R:3 pbc="T T T"
Sr -6.897 -6.503 1.822
Sr -4.410 -0.910 3.685
Na -2.142 -2.329 0.451
Pb -5.024 -3.569 1.290
Pb -6.283 -3.843 4.218
Na -9.165 -5.084 5.057
```

Output
The total energy comes out at -2.559 eV per atom. For the formation energy, the calculation gives -31.1 kJ/mol of atoms.


Compound: NaSr2Pb2
Source: the Alexandria database
Functional: GGA-PBE
Structure: relaxed

extended XYZ file:
```
5
Lattice="-3.903 -1.928 -3.555 4.018 -1.293 -3.711 0.616 -7.889 -0.841" Properties=species:S:1:pos:R:3 pbc="T T T"
Sr 2.346 -5.396 -4.092
Sr -1.615 -5.714 -4.014
Pb 0.556 -8.168 -5.066
Pb 0.176 -2.942 -3.041
Na 0.000 0.000 0.000
```

Output
The total energy comes out at -2.541 eV per atom. For the formation energy, the calculation gives -11.7 kJ/mol of atoms. The energy relative to the lowest polymorph listed for this composition comes out at 0.3091 eV/atom.


Compound: NaSrPb
Source: the Alexandria database
Functional: GGA-PBE
Structure: relaxed

extended XYZ file:
```
3
Lattice="-2.076 -5.127 0.660 2.294 -4.303 -2.695 2.892 -3.834 2.824" Properties=species:S:1:pos:R:3 pbc="T T T"
Na 1.555 -6.632 0.395
Sr 0.000 0.000 0.000
Pb 0.777 -3.316 0.197
```

Output
The total energy comes out at -2.439 eV per atom. For the formation energy, the calculation gives -19.5 kJ/mol of atoms.


Compound: NaSr4Pb5
Source: the Alexandria database
Functional: GGA-PBE
Structure: relaxed

extended XYZ file:
```
10
Lattice="-3.525 0.017 -1.716 1.632 -1.184 -3.363 -2.948 -20.679 5.853" Properties=species:S:1:pos:R:3 pbc="T T T"
Pb -3.045 -15.300 1.626
Pb -3.659 -19.606 2.845
Pb -1.797 -6.546 -0.852
Pb -2.421 -10.923 0.387
Sr -1.786 -12.526 3.545
Sr -0.548 -3.843 1.088
Sr -1.162 -8.153 2.308
Pb -1.183 -2.241 -2.071
Na 0.000 0.000 0.000
Sr -2.400 -16.836 4.765
```

Output
The total energy comes out at -3.105 eV per atom. For the formation energy, the calculation gives -43.1 kJ/mol of atoms.


Compound: Na2SrPb8
Source: the Alexandria database
Functional: GGA-PBE
Structure: relaxed

extended XYZ file:
```
11
Lattice="6.000 0.234 0.048 -0.229 6.306 -2.135 1.079 -0.254 9.527" Properties=species:S:1:pos:R:3 pbc="T T T"
Pb 3.177 2.214 0.962
Na 2.766 4.694 3.174
Pb 5.837 5.175 4.267
Pb 0.845 2.159 6.286
Pb 3.064 5.343 -0.097
Pb 6.006 4.128 1.154
Pb 3.673 4.072 6.478
Pb 1.013 1.111 3.173
Na 4.085 1.593 4.265
Sr 0.000 0.000 0.000
Pb 3.787 0.944 7.537
```

Output
The total energy comes out at -3.221 eV per atom. For the formation energy, the calculation gives -12.7 kJ/mol of atoms.


Compound: NaSr2Pb
Source: the Alexandria database
Functional: GGA-PBE
Structure: relaxed

extended XYZ file:
```
4
Lattice="-0.431 -0.966 -3.810 -0.639 -3.765 -1.025 -13.557 0.393 -0.617" Properties=species:S:1:pos:R:3 pbc="T T T"
Sr -4.386 -4.236 -4.585
Pb 0.000 0.000 0.000
Na -7.314 -2.169 -2.726
Sr -10.241 -0.102 -0.867
```

Output
The total energy comes out at -1.981 eV per atom. For the formation energy, the calculation gives 11.3 kJ/mol of atoms.


Compound: NaSr3Pb3
Source: the Alexandria database
Functional: GGA-PBE
Structure: relaxed

extended XYZ file:
```
14
Lattice="4.991 0.000 0.000 -2.496 6.129 0.000 0.000 0.000 16.683" Properties=species:S:1:pos:R:3 pbc="T T T"
Sr 2.496 0.391 4.171
Sr 2.496 3.694 6.625
Sr 0.000 2.435 10.058
Sr 0.000 5.738 12.512
Pb 0.000 1.159 6.664
Na 2.496 0.000 8.342
Pb 0.000 1.159 1.678
Sr 2.496 3.694 1.717
Pb 0.000 3.056 4.171
Na 2.496 0.000 0.000
Pb 2.496 3.073 12.512
Sr 0.000 2.435 14.966
Pb 2.496 4.970 15.006
Pb 2.496 4.970 10.019
```

Output
The total energy comes out at -2.966 eV per atom. For the formation energy, the calculation gives -45.1 kJ/mol of atoms.


Compound: NaSr2Pb
Source: the Alexandria database
Functional: GGA-PBE
Structure: relaxed

extended XYZ file:
```
4
Lattice="4.192 0.000 0.000 0.000 4.192 0.000 0.000 0.000 8.943" Properties=species:S:1:pos:R:3 pbc="T T T"
Sr 0.000 0.000 1.963
Na 2.096 2.096 4.471
Pb 2.096 2.096 0.000
Sr 0.000 0.000 6.979
```

Output
The total energy comes out at -2.385 eV per atom. For the formation energy, the calculation gives -27.7 kJ/mol of atoms.


Compound: Na6SrPb4
Source: the Alexandria database
Functional: GGA-PBE
Structure: relaxed

extended XYZ file:
```
11
Lattice="-3.784 -4.328 -6.090 7.757 3.032 -0.884 2.759 -3.686 6.996" Properties=species:S:1:pos:R:3 pbc="T T T"
Pb 3.696 -1.440 4.005
Pb 6.466 -1.974 2.419
Na 1.987 -0.648 -3.487
Na 3.655 -1.939 0.665
Na 6.476 -1.721 5.787
Pb 5.417 0.873 1.292
Na -1.235 -2.775 -3.149
Na -0.512 -4.007 0.453
Na 8.351 0.799 2.831
Pb 1.667 -3.096 -1.582
Sr 0.000 0.000 0.000
```

Output
The total energy comes out at -2.308 eV per atom. For the formation energy, the calculation gives -8.4 kJ/mol of atoms.


Compound: Na2SrPb
Source: the Alexandria database
Functional: GGA-PBE
Structure: relaxed

extended XYZ file:
```
16
Lattice="8.235 0.000 0.000 0.000 11.048 -0.524 0.000 -5.537 6.484" Properties=species:S:1:pos:R:3 pbc="T T T"
Na 2.112 -5.537 6.484
Sr 8.234 0.295 3.068
Na 8.228 -2.826 6.236
Na 0.007 8.337 -0.276
Pb 5.782 2.756 2.977
Na 6.229 5.524 -0.262
Sr 4.118 5.819 2.805
Na 4.111 2.813 -0.014
Pb 2.452 2.756 2.982
Sr 0.000 5.216 2.892
Pb 1.665 -2.769 3.245
Sr 4.117 -0.308 3.154
Pb 6.570 8.280 2.715
Na 2.006 -0.013 6.221
Na 6.123 11.048 -0.524
Na 4.124 2.698 5.974
```

Output
The total energy comes out at -2.201 eV per atom. For the formation energy, the calculation gives -18.8 kJ/mol of atoms.


Compound: NaSrPb
Source: the Alexandria database
Functional: GGA-PBE
Structure: relaxed

extended XYZ file:
```
18
Lattice="4.164 0.000 0.000 0.000 9.307 0.007 0.000 -0.008 16.017" Properties=species:S:1:pos:R:3 pbc="T T T"
Sr 3.123 0.542 4.460
Sr 1.041 8.758 11.564
Na 3.123 0.149 14.676
Na 1.041 9.150 1.347
Pb 1.041 6.914 14.698
Na 1.041 8.250 7.214
Na 3.123 1.050 8.809
Pb 1.041 7.023 4.018
Na 1.041 3.615 3.512
Pb 1.041 2.392 6.645
Sr 3.123 5.204 6.242
Sr 1.041 4.095 9.781
Na 3.123 5.685 12.511
Pb 3.123 2.385 1.325
Pb 3.123 6.908 9.378
Sr 1.041 3.339 14.673
Sr 3.123 5.961 1.351
Pb 3.123 2.276 12.005
```

Output
The total energy comes out at -2.598 eV per atom. For the formation energy, the calculation gives -34.8 kJ/mol of atoms.